1.
{"formula": "Mn2FeTe", "functional": "PBE", "state": "relaxed", "raw_formation_energy_ev_per_atom": 0.448, "dos_at_fermi_per_ev_fu": 4.1, "vol_a3_per_atom": 15.59, "e_tot_ev_per_cell": -28.15, "lattice_angstrom": [[4.326, 0.000, 0.000], [0.000, 3.007, -0.132], [0.000, 0.483, 4.771]], "species": ["Fe", "Mn", "Mn", "Te"], "frac_coords": [[0.500, 0.750, 0.750], [0.000, 0.011, 0.976], [0.000, 0.489, 0.524], [0.500, 0.250, 0.250]]}



2.
{"formula": "MnFe2Te", "functional": "PBE", "state": "relaxed", "raw_formation_energy_ev_per_atom": 0.873, "dos_at_fermi_per_ev_fu": 5.5, "vol_a3_per_atom": 18.03, "e_tot_ev_per_cell": -51.49, "lattice_angstrom": [[-1.735, 4.448, -1.766], [-4.073, -2.358, -1.938], [-5.652, 1.868, 2.920]], "species": ["Te", "Te", "Fe", "Fe", "Fe", "Fe", "Mn", "Mn"], "frac_coords": [[0.000, 0.000, 0.000], [0.750, 0.250, 0.500], [0.563, 0.125, 0.250], [0.187, 0.625, 0.250], [0.375, 0.437, 0.750], [0.875, 0.813, 0.750], [0.500, 0.500, 0.000], [0.250, 0.750, 0.500]]}



3.
{"formula": "Mn2FeTe", "functional": "PBE", "state": "relaxed", "raw_formation_energy_ev_per_atom": 0.579, "dos_at_fermi_per_ev_fu": 4.5, "vol_a3_per_atom": 16.17, "e_tot_ev_per_cell": -55.25, "lattice_angstrom": [[-0.610, -3.305, 1.743], [1.909, 1.243, 3.024], [-7.009, 2.226, 5.878]], "species": ["Te", "Te", "Fe", "Fe", "Mn", "Mn", "Mn", "Mn"], "frac_coords": [[0.000, 0.000, 0.000], [0.750, 0.250, 0.500], [0.500, 0.500, 0.000], [0.250, 0.750, 0.500], [0.619, 0.125, 0.250], [0.131, 0.625, 0.250], [0.375, 0.381, 0.750], [0.875, 0.869, 0.750]]}



4.
{"formula": "MnFe2Te", "functional": "PBE", "state": "relaxed", "raw_formation_energy_ev_per_atom": 0.297, "dos_at_fermi_per_ev_fu": 3.2, "vol_a3_per_atom": 13.69, "e_tot_ev_per_cell": -28.05, "lattice_angstrom": [[4.262, 0.000, 0.000], [2.131, 3.691, 0.000], [2.131, 1.230, 3.480]], "species": ["Fe", "Fe", "Mn", "Te"], "frac_coords": [[0.000, 0.000, 0.000], [0.250, 0.250, 0.250], [0.500, 0.500, 0.500], [0.750, 0.750, 0.750]]}



5.
{"formula": "MnFeTe", "functional": "PBE", "state": "relaxed", "raw_formation_energy_ev_per_atom": 0.213, "dos_at_fermi_per_ev_fu": 1.7, "relative_energy_ev_per_fu": 0.525, "vol_a3_per_atom": 16.33, "e_tot_ev_per_cell": -20.14, "lattice_angstrom": [[4.107, 0.000, 0.000], [2.054, 3.557, 0.000], [2.054, 1.186, 3.353]], "species": ["Fe", "Mn", "Te"], "frac_coords": [[0.500, 0.500, 0.500], [0.750, 0.750, 0.750], [0.000, 0.000, 0.000]]}



6.
{"formula": "MnFe2Te", "functional": "PBE", "state": "relaxed", "raw_formation_energy_ev_per_atom": 0.621, "dos_at_fermi_per_ev_fu": 5.4, "vol_a3_per_atom": 16.00, "e_tot_ev_per_cell": -26.75, "lattice_angstrom": [[-3.240, -2.039, 6.995], [-5.095, -3.517, 5.026], [-2.427, -4.799, 5.888]], "species": ["Fe", "Fe", "Mn", "Te"], "frac_coords": [[0.997, 0.997, 0.997], [0.503, 0.503, 0.503], [0.250, 0.250, 0.250], [0.750, 0.750, 0.750]]}



7.
{"formula": "MnFeTe", "functional": "PBE", "state": "relaxed", "raw_formation_energy_ev_per_atom": 0.135, "dos_at_fermi_per_ev_fu": 2.8, "relative_energy_ev_per_fu": 0.292, "vol_a3_per_atom": 19.27, "e_tot_ev_per_cell": -40.74, "lattice_angstrom": [[3.954, 0.000, 0.000], [0.000, 2.994, 0.000], [0.000, 1.497, 9.767]], "species": ["Fe", "Fe", "Te", "Te", "Mn", "Mn"], "frac_coords": [[0.750, 0.468, 0.063], [0.250, 0.532, 0.937], [0.750, 0.339, 0.323], [0.250, 0.661, 0.677], [0.750, 0.074, 0.852], [0.250, 0.926, 0.148]]}



8.
{"formula": "Mn2FeTe", "functional": "PBE", "state": "relaxed", "raw_formation_energy_ev_per_atom": 0.253, "dos_at_fermi_per_ev_fu": 3.5, "vol_a3_per_atom": 13.34, "e_tot_ev_per_cell": -28.93, "lattice_angstrom": [[4.226, 0.000, 0.000], [2.113, 3.660, 0.000], [2.113, 1.220, 3.450]], "species": ["Fe", "Mn", "Mn", "Te"], "frac_coords": [[0.500, 0.500, 0.500], [0.000, 0.000, 0.000], [0.250, 0.250, 0.250], [0.750, 0.750, 0.750]]}



Please write out number 3 again, unchanged.
{"formula": "Mn2FeTe", "functional": "PBE", "state": "relaxed", "raw_formation_energy_ev_per_atom": 0.579, "dos_at_fermi_per_ev_fu": 4.5, "vol_a3_per_atom": 16.17, "e_tot_ev_per_cell": -55.25, "lattice_angstrom": [[-0.610, -3.305, 1.743], [1.909, 1.243, 3.024], [-7.009, 2.226, 5.878]], "species": ["Te", "Te", "Fe", "Fe", "Mn", "Mn", "Mn", "Mn"], "frac_coords": [[0.000, 0.000, 0.000], [0.750, 0.250, 0.500], [0.500, 0.500, 0.000], [0.250, 0.750, 0.500], [0.619, 0.125, 0.250], [0.131, 0.625, 0.250], [0.375, 0.381, 0.750], [0.875, 0.869, 0.750]]}



Q: What is the formula in the seventh record?
A: MnFeTe